The following is a DFT calculation (PBEsol) of a relaxed Ge3PO crystal.

abc: 4.3969 4.3969 4.3969
angles: 90.00 90.00 90.00
Positions (direct):
O 0.0000 0.0000 0.0000
Ge 0.0000 0.5000 0.0000
P 0.5000 0.5000 0.5000
Ge 0.5000 0.0000 0.0000
Ge 0.0000 0.0000 0.5000

Properties
* formation energy from raw total energies: 0.6 eV/f.u.
* symmetry: No. 221
* size of the total moment: 0.0 Bohr magnetons per cell